Compound: BaLiFeO3
Source: Alexandria
Functional: GGA+U
Structure: optimized geometry

```
BaLiFeO3
1.0
2.766 -5.180 0.000
2.766 5.180 0.000
0.000 0.000 5.485
Ba Li Fe O
2 2 2 6
Direct
0.222 0.778 0.750
0.778 0.222 0.250
0.073 0.927 0.250
0.927 0.073 0.750
0.455 0.545 0.250
0.545 0.455 0.750
0.262 0.262 0.000
0.262 0.262 0.500
0.263 0.737 0.250
0.737 0.263 0.750
0.738 0.738 0.000
0.738 0.738 0.500
```

Results
**Total magnetic moment**: 2.997 μB/f.u.
**Energy**: -71.01 eV/cell